This record from Alexandria describes Ce5PuAg5 after structural relaxation. The functional is GGA-PBE.

For the energy of formation, the calculation gives -74 kJ/mol of formula units. Its electronic total energy is -5.37 eV per atom. The density of states at the Fermi level is 28.89 states/eV/cell.

The space group is C2/m (No. 12) and the conventional cell measures 15.325, 5.026 and 8.883 Å, with angles of 90.00, 125.31 and 90.00 degrees. Symmetry generates all atoms from Ce at (0.000, 0.000, 0.000), Ce at (0.140, 0.500, 0.330), Ce at (0.140, 0.500, 0.949), Pu at (0.000, 0.500, 0.000), Ag at (0.000, 0.500, 0.500), Ag at (0.120, 0.000, 0.621) and Ag at (0.246, 0.500, 0.746).